Below is an optimized crystal structure of Tb2UC, with properties calculated at the PBE level.

Lattice parameters (Å, degrees): 3.3948 3.3948 9.8951 80.12 80.12 60.00
Last column: nearest neighbours and their distance in Å.
Fractional coordinates of all 4 atoms:
1 Tb 0.1187 0.1187 0.6439  3 C 2.41
2 Tb 0.8813 0.8813 0.3561  3 C 2.41
3 C 0.5000 0.5000 0.5000  6 Tb 2.41
4 U 0.0000 0.0000 0.0000  6 U 3.39, 2 Tb 3.45

The space-group type is No. 166. For the density of states at the Fermi level, the calculation gives 6.46 states/eV per cell. Its formation enthalpy at 0 K is 0.2816 eV/atom.



Below is an optimized crystal structure of Th4ZrTe5, with properties calculated at the PBE level.

Lattice parameters (Å, degrees): 3.8081 3.8081 18.9932 90.00 90.00 90.00
Last column: nearest neighbours and their distance in Å.
Fractional coordinates of all 10 atoms:
1 Th 0.0000 0.0000 0.1934  8 Te 3.32, 1 Zr 3.67
2 Th 0.0000 0.0000 0.3984  8 Te 3.31-3.32
3 Th 0.0000 0.0000 0.6016  8 Te 3.31-3.32
4 Th 0.0000 0.0000 0.8066  8 Te 3.32, 1 Zr 3.67
5 Zr 0.0000 0.0000 0.0000  8 Te 3.21
6 Te 0.5000 0.5000 0.0916  4 Zr 3.21, 4 Th 3.32, 1 Te 3.48
7 Te 0.5000 0.5000 0.2958  8 Th 3.32
8 Te 0.5000 0.5000 0.5000  8 Th 3.31
9 Te 0.5000 0.5000 0.7042  8 Th 3.32
10 Te 0.5000 0.5000 0.9084  4 Zr 3.21, 4 Th 3.32, 1 Te 3.48

The space-group type is No. 123. For the density of states at the Fermi level, the calculation gives 6.18 states/eV per cell. Its uncorrected formation energy is -0.992 eV/atom.



The records above give, respectively, raw total energy values of -7.16; -6.39 eV per atom.